MnCd4O2: optimized geometry, PBE with a Hubbard U.

The structure in extended XYZ format:
```
7
Lattice="-3.758 1.568 3.272 -2.037 -4.810 -0.036 0.583 -3.130 6.339" Properties=species:S:1:pos:R:3 pbc="T T T"
Mn 0.000 0.000 0.000
O -3.055 -4.431 6.953
O -2.158 -1.942 2.622
Cd -4.240 -3.917 5.347
Cd -0.973 -2.456 4.229
Cd -1.019 -2.405 -0.018
Cd -1.879 0.784 1.636
```

Total magnetization ... 4.78 μB/f.u.
VASP energy ... -18.84 eV for the cell shown
D(E_F) ... 0.7163 states/eV per atom
Space group ... I4/mmm, No. 139